1.
TbHoIn2: optimized geometry, GGA-PBE.

formation energy from the elements	-45	kJ per mole of atoms

a = 3.758 Å, b = 3.758 Å, c = 7.529 Å
α = 90.00°, β = 90.00°, γ = 90.00°
Element x y z (fractional)
Tb1 0.000 0.000 0.000
Ho1 0.000 0.000 0.500
In1 0.500 0.500 0.253
In2 0.500 0.500 0.747



2.
FeNiP: optimized geometry, GGA-PBE.

formation energy from the elements	-12	kJ per mole of atoms

a = 5.290 Å, b = 5.290 Å, c = 5.290 Å
α = 90.00°, β = 90.00°, γ = 90.00°
Element x y z (fractional)
Fe1 0.000 0.000 0.000
Fe2 0.000 0.500 0.500
Fe3 0.500 0.000 0.500
Fe4 0.500 0.500 0.000
Ni1 0.250 0.250 0.250
Ni2 0.250 0.750 0.750
Ni3 0.750 0.250 0.750
Ni4 0.750 0.750 0.250
P1 0.250 0.250 0.750
P2 0.250 0.750 0.250
P3 0.750 0.250 0.250
P4 0.750 0.750 0.750



3.
ScCoRe2: optimized geometry, GGA-PBE.

energy relative to the lowest polymorph listed for this composition	279	meV/atom
formation energy from the elements	20	kJ per mole of atoms

a = 2.842 Å, b = 2.842 Å, c = 26.091 Å
α = 90.00°, β = 90.00°, γ = 120.00°
Element x y z (fractional)
Sc1 0.000 0.000 0.000
Sc2 0.333 0.667 0.667
Sc3 0.667 0.333 0.333
Co1 0.000 0.000 0.748
Co2 0.333 0.667 0.415
Co3 0.667 0.333 0.081
Re1 0.000 0.000 0.241
Re2 0.000 0.000 0.493
Re3 0.333 0.667 0.159
Re4 0.333 0.667 0.907
Re5 0.667 0.333 0.574
Re6 0.667 0.333 0.826



4.
SiNi4As: optimized geometry, GGA-PBE.

energy relative to the lowest polymorph listed for this composition	0	meV/atom
raw formation energy	-0.24	eV per atom

a = 5.242 Å, b = 5.242 Å, c = 5.817 Å
α = 101.02°, β = 101.02°, γ = 106.41°
Element x y z (fractional)
Si1 0.141 0.859 0.750
Si2 0.859 0.141 0.250
Ni1 0.095 0.260 0.955
Ni2 0.183 0.583 0.392
Ni3 0.260 0.095 0.455
Ni4 0.417 0.817 0.108
Ni5 0.583 0.183 0.892
Ni6 0.740 0.905 0.545
Ni7 0.817 0.417 0.608
Ni8 0.905 0.740 0.045
As1 0.456 0.544 0.750
As2 0.544 0.456 0.250



5.
Cd2SbWC: optimized geometry, GGA-PBE.

raw formation energy	0.87	eV per atom

a = 4.772 Å, b = 4.772 Å, c = 4.175 Å
α = 90.00°, β = 90.00°, γ = 90.00°
Element x y z (fractional)
Cd1 0.000 0.500 0.000
Cd2 0.500 0.000 0.000
Sb1 0.000 0.000 0.500
W1 0.500 0.500 0.500
C1 0.500 0.500 0.000



6.
Pd8PbAu5: optimized geometry, GGA-PBE.

formation energy from the elements	1	kJ per mole of atoms

a = 6.948 Å, b = 6.948 Å, c = 6.948 Å
α = 113.75°, β = 113.75°, γ = 101.21°
Element x y z (fractional)
Pd1 0.101 0.673 0.753
Pd2 0.208 0.304 0.758
Pd3 0.327 0.079 0.427
Pd4 0.545 0.450 0.242
Pd5 0.550 0.792 0.095
Pd6 0.652 0.899 0.573
Pd7 0.696 0.455 0.905
Pd8 0.921 0.348 0.247
Pb1 0.000 0.000 0.000
Au1 0.179 0.601 0.145
Au2 0.399 0.544 0.578
Au3 0.456 0.034 0.855
Au4 0.750 0.250 0.500
Au5 0.966 0.821 0.422



7.
CdICl: optimized geometry, GGA-PBE.

raw formation energy	-0.80	eV per atom

a = 4.139 Å, b = 4.139 Å, c = 6.846 Å
α = 90.00°, β = 90.00°, γ = 120.00°
Element x y z (fractional)
Cd1 0.000 0.000 0.000
I1 0.333 0.667 0.741
Cl1 0.667 0.333 0.200



8.
Ba2YIn3Hg12: optimized geometry, GGA-PBE.

formation energy from the elements	-17	kJ per mole of atoms

a = 13.693 Å, b = 13.693 Å, c = 13.693 Å
α = 29.53°, β = 29.53°, γ = 29.53°
Element x y z (fractional)
Ba1 0.139 0.139 0.139
Ba2 0.861 0.861 0.861
Y1 0.500 0.500 0.500
In1 0.000 0.500 0.500
In2 0.500 0.000 0.500
In3 0.500 0.500 0.000
Hg1 0.094 0.094 0.647
Hg2 0.094 0.647 0.094
Hg3 0.097 0.619 0.619
Hg4 0.353 0.906 0.906
Hg5 0.381 0.381 0.903
Hg6 0.381 0.903 0.381
Hg7 0.619 0.097 0.619
Hg8 0.619 0.619 0.097
Hg9 0.647 0.094 0.094
Hg10 0.903 0.381 0.381
Hg11 0.906 0.353 0.906
Hg12 0.906 0.906 0.353



| no. | calculated density (Mg/m³) |
| --- | --- |
| 1 | 8.64 |
| 2 | 6.53 |
| 3 | 13.01 |
| 4 | 7.72 |
| 5 | 9.47 |
| 6 | 13.35 |
| 7 | 4.49 |
| 8 | 9.37 |